Below is a relaxed structure of ErBAs, with properties calculated at the PBE level.

The structure in POSCAR format:
```
ErBAs
1.0
3.4725 0.0000 0.0000
-1.7363 4.5585 -1.5772
0.0000 -3.1546 7.8170
B Er As
2 2 2
direct
0.7058 0.4116 0.4654
0.2942 0.5884 0.5346
0.0000 0.0000 0.5000
0.0000 0.0000 0.0000
0.4122 0.8244 0.1869
0.5878 0.1756 0.8131
```

Values from the calculation:
- Magnetic moment: 0.000 μB per formula unit
- Calculated formation energy: -0.489 eV/atom
- DOS(E_F): 0.71 states/eV/f.u.